(1)
DFT (PBE) results for crystalline CdRe2Au at its relaxed geometry.

Lattice parameters (Å, degrees): 3.178 4.391 4.830 90.00 90.00 90.00
Fractional positions:
Cd 0.000 0.000 0.000
Re 0.000 0.500 0.500
Re 0.500 0.000 0.500
Au 0.500 0.500 0.000

## Properties
Its electronic total energy is -0.2436 Ha/atom. The formation energy comes out at 0.642 eV/atom.

***

(2)
DFT (PBE) results for crystalline Pa2BeCr at its relaxed geometry.

Lattice parameters (Å, degrees): 10.232 10.232 10.232 16.90 16.90 16.90
Fractional positions:
Pa 0.094 0.094 0.094
Pa 0.906 0.906 0.906
Be 0.000 0.000 0.000
Cr 0.500 0.500 0.500

## Properties
Its electronic total energy is -0.2662 Ha/atom. The formation energy comes out at 0.842 eV/atom.

***

(3)
DFT (PBE) results for crystalline Tb3Ho2Os2 at its relaxed geometry.

Lattice parameters (Å, degrees): 6.301 6.301 8.260 111.16 111.16 36.69
Fractional positions:
Tb 0.000 0.000 0.000
Tb 0.124 0.124 0.432
Tb 0.876 0.876 0.568
Ho 0.333 0.333 0.182
Ho 0.667 0.667 0.818
Os 0.321 0.321 0.785
Os 0.679 0.679 0.215

## Properties
Its electronic total energy is -0.2476 Ha/atom. The formation energy comes out at -0.237 eV/atom.

***

(4)
DFT (PBE) results for crystalline LaBN2 at its relaxed geometry.

Lattice parameters (Å, degrees): 6.637 6.958 7.826 105.90 90.62 116.07
Fractional positions:
La 0.034 0.283 0.078
La 0.039 0.285 0.563
La 0.443 0.161 0.798
La 0.557 0.839 0.202
La 0.961 0.715 0.437
La 0.966 0.717 0.922
B 0.233 0.081 0.275
B 0.398 0.710 0.827
B 0.398 0.722 0.513
B 0.602 0.278 0.487
B 0.602 0.290 0.173
B 0.767 0.919 0.725
N 0.014 0.017 0.752
N 0.261 0.592 0.338
N 0.265 0.555 0.922
N 0.272 0.714 0.670
N 0.353 0.141 0.457
N 0.356 0.133 0.122
N 0.644 0.867 0.878
N 0.647 0.859 0.543
N 0.728 0.286 0.330
N 0.735 0.445 0.078
N 0.739 0.408 0.662
N 0.986 0.983 0.248

## Properties
Its electronic total energy is -0.3105 Ha/atom. As for the formation energy (no corrections): -1385 meV per atom.

***

Asked for total magnetization across the records above, the calculation gives 0.0 0.0 0.0 0.0 μB/cell in order.